[1]
A plane-wave DFT calculation with PBE was carried out for a relaxed structure of AgTe2Cl.

Summary:
Formation energy from raw total energies in eV/atom: 0.22
Crystal system: orthorhombic
Calculated total energy in eV/atom: -2.5256
Symmetry: Cmmm

a b c (Å): 6.185 6.185 3.180
angles (deg): 90.00 90.00 122.42
Positions (direct):
Ag: 0.000 0.000 0.000
Te: 0.000 0.500 0.500
Te: 0.500 0.000 0.500
Cl: 0.500 0.500 0.000

[2]
A plane-wave DFT calculation with PBE was carried out for a relaxed structure of Na2Tl4In.

Summary:
Distance to the lowest polymorph of the same formula in meV per atom: 0
Crystal system: tetragonal
Calculated total energy in eV/atom: -2.1404
Symmetry: I-4

a b c (Å): 8.190 8.190 8.190
angles (deg): 109.61 109.61 109.20
Positions (direct):
Na: 0.124 0.264 0.639
Na: 0.515 0.876 0.140
Na: 0.625 0.485 0.361
Na: 0.736 0.375 0.860
Tl: 0.046 0.642 0.761
Tl: 0.206 0.466 0.097
Tl: 0.358 0.119 0.404
Tl: 0.369 0.109 0.903
Tl: 0.534 0.631 0.740
Tl: 0.715 0.954 0.596
Tl: 0.881 0.285 0.239
Tl: 0.891 0.794 0.260
In: 0.000 0.000 0.000
In: 0.250 0.750 0.500

[3]
A plane-wave DFT calculation with PBE was carried out for a relaxed structure of Hf2SiRh2.

Summary:
Formation energy from raw total energies in eV/atom: -0.69
Crystal system: tetragonal
Calculated total energy in eV/atom: -8.6925
Symmetry: P4/mbm

a b c (Å): 7.182 7.182 3.373
angles (deg): 90.00 90.00 90.00
Positions (direct):
Hf: 0.170 0.330 0.000
Hf: 0.330 0.830 0.000
Hf: 0.670 0.170 0.000
Hf: 0.830 0.670 0.000
Si: 0.000 0.000 0.500
Si: 0.500 0.500 0.500
Rh: 0.135 0.635 0.500
Rh: 0.365 0.135 0.500
Rh: 0.635 0.865 0.500
Rh: 0.865 0.365 0.500

[4]
A plane-wave DFT calculation with PBE was carried out for a relaxed structure of PmHo3Er2.

Summary:
Distance to the lowest polymorph of the same formula in meV per atom: 0
Crystal system: triclinic
Calculated total energy in eV/atom: -4.6051
Symmetry: P-1

a b c (Å): 7.125 7.132 8.784
angles (deg): 78.24 78.28 60.08
Positions (direct):
Pm: 0.250 0.250 0.000
Pm: 0.750 0.750 0.000
Ho: 0.139 0.139 0.665
Ho: 0.250 0.750 0.000
Ho: 0.361 0.861 0.336
Ho: 0.639 0.139 0.664
Ho: 0.750 0.250 0.000
Ho: 0.861 0.861 0.335
Er: 0.140 0.639 0.664
Er: 0.361 0.361 0.335
Er: 0.639 0.639 0.665
Er: 0.860 0.361 0.336

Q: Number 3 is which compound?
A: Hf2SiRh2

Q: Which formula does entry 2 have?
A: Na2Tl4In

What did the second record say?
A plane-wave DFT calculation with PBE was carried out for a relaxed structure of Na2Tl4In.

Summary:
Distance to the lowest polymorph of the same formula in meV per atom: 0
Crystal system: tetragonal
Calculated total energy in eV/atom: -2.1404
Symmetry: I-4

a b c (Å): 8.190 8.190 8.190
angles (deg): 109.61 109.61 109.20
Positions (direct):
Na: 0.124 0.264 0.639
Na: 0.515 0.876 0.140
Na: 0.625 0.485 0.361
Na: 0.736 0.375 0.860
Tl: 0.046 0.642 0.761
Tl: 0.206 0.466 0.097
Tl: 0.358 0.119 0.404
Tl: 0.369 0.109 0.903
Tl: 0.534 0.631 0.740
Tl: 0.715 0.954 0.596
Tl: 0.881 0.285 0.239
Tl: 0.891 0.794 0.260
In: 0.000 0.000 0.000
In: 0.250 0.750 0.500